No. 1
The following is a DFT calculation (PBE-GGA) of a relaxed SiRhPb2 crystal.

Lattice parameters (Å, degrees): 6.300 6.300 12.091 90.00 90.00 90.00
Element x y z (fractional)
Si1 0.000 0.000 0.000
Si2 0.000 0.500 0.250
Si3 0.500 0.000 0.750
Si4 0.500 0.500 0.500
Rh1 0.000 0.000 0.500
Rh2 0.000 0.500 0.750
Rh3 0.500 0.000 0.250
Rh4 0.500 0.500 0.000
Pb1 0.240 0.250 0.625
Pb2 0.250 0.740 0.875
Pb3 0.250 0.760 0.375
Pb4 0.260 0.250 0.125
Pb5 0.740 0.750 0.125
Pb6 0.750 0.240 0.375
Pb7 0.750 0.260 0.875
Pb8 0.760 0.750 0.625

Summary:
Raw formation energy   0.559 eV/atom
Volume   480.0 Å³/cell
Symmetry   No. 122
M_tot   0.00 μB/cell


No. 2
The following is a DFT calculation (PBE-GGA) of a relaxed Si2RhPb crystal.

Lattice parameters (Å, degrees): 7.453 3.776 6.250 90.00 111.89 90.00
Element x y z (fractional)
Si1 0.000 0.000 0.000
Si2 0.211 0.500 0.244
Si3 0.500 0.500 0.000
Si4 0.711 0.000 0.244
Rh1 0.338 0.000 0.079
Rh2 0.838 0.500 0.079
Pb1 0.045 0.500 0.617
Pb2 0.545 0.000 0.617

Summary:
Raw formation energy   -0.129 eV/atom
Volume   163.2 Å³/cell
Symmetry   No. 8
M_tot   0.00 μB/cell


No. 3
The following is a DFT calculation (PBE-GGA) of a relaxed SiRhPb2 crystal.

Lattice parameters (Å, degrees): 9.397 3.416 5.598 90.00 101.23 90.00
Element x y z (fractional)
Si1 0.000 0.000 0.000
Si2 0.500 0.500 0.000
Rh1 0.000 0.500 0.500
Rh2 0.500 0.000 0.500
Pb1 0.235 0.000 0.735
Pb2 0.265 0.500 0.265
Pb3 0.735 0.500 0.735
Pb4 0.765 0.000 0.265

Summary:
Raw formation energy   0.419 eV/atom
Volume   176.2 Å³/cell
Symmetry   No. 12
M_tot   0.00 μB/cell


No. 4
The following is a DFT calculation (PBE-GGA) of a relaxed Si2RhPb crystal.

Lattice parameters (Å, degrees): 2.924 5.335 9.773 90.00 90.00 90.00
Element x y z (fractional)
Si1 0.000 0.000 0.205
Si2 0.000 0.000 0.795
Si3 0.500 0.500 0.295
Si4 0.500 0.500 0.705
Rh1 0.000 0.500 0.500
Rh2 0.500 0.000 0.000
Pb1 0.000 0.500 0.000
Pb2 0.500 0.000 0.500

Summary:
Raw formation energy   0.232 eV/atom
Volume   152.4 Å³/cell
Symmetry   No. 71
M_tot   0.00 μB/cell